Density functional theory data (PBE) for an optimized crystal structure of NaHfSbI2.

Properties
- Offset from the most stable computed form: 0.000 eV per atom
- Formation energy without anion corrections: -0.34 eV/atom
- DOS at the Fermi energy: 2.2 states/eV/f.u.
- Magnetization: 0.0 μB per formula unit

abc: 5.809 5.809 5.596
angles: 90.00 90.00 90.00
Fractional coordinates of all 5 atoms:
Na (0.000, 0.000, 0.000)
Hf (0.500, 0.500, 0.500)
Sb (0.500, 0.500, 0.000)
I (0.000, 0.500, 0.500)
I (0.500, 0.000, 0.500)